DFT (PBE) results for ScU4As5 after structural relaxation.

## Properties
**Space group**: Immm
**DFT total energy**: -8.314 eV per atom
**Energy relative to the elements**: -0.8406 eV per atom
**DOS at the Fermi energy**: 23.787 states/eV/cell
**Total magnetization**: 9.8 μB/f.u.

Unit cell a=10.8246 b=10.8246 c=10.8246 alpha=158.70 beta=149.33 gamma=37.65
Closest atoms and distances in Å follow each position.
Atoms (fractional coordinates):
Sc1 0.0000 0.0000 0.0000  6 As 2.79-2.86
U1 0.1975 0.1975 0.0000  6 As 2.86-2.90
U2 0.4005 0.4005 0.0000  6 As 2.86-2.88
U3 0.5995 0.5995 0.0000  6 As 2.86-2.88
U4 0.8025 0.8025 0.0000  6 As 2.86-2.90
As1 0.0947 0.5947 0.5000  2 Sc 2.79, 4 U 2.86-2.90
As2 0.2992 0.7992 0.5000  6 U 2.86-2.89
As3 0.5000 0.0000 0.5000  4 U 2.86, 2 Sc 2.86
As4 0.7008 0.2008 0.5000  6 U 2.86-2.89
As5 0.9053 0.4053 0.5000  2 Sc 2.79, 4 U 2.86-2.90